[1]
Here is a relaxed BaLiSb2 crystal from Alexandria. Energies are from PBE.

```
data_BaLiSb2
_cell_length_a 7.882
_cell_length_b 7.882
_cell_length_c 7.882
_cell_angle_alpha 90.00
_cell_angle_beta 90.00
_cell_angle_gamma 90.00
_symmetry_space_group_name_H-M 'F -4 3 m'
_symmetry_Int_Tables_number 216
_symmetry_space_group_name_Hall 'F -4 2 3'
loop_
_atom_site_label
_atom_site_fract_x
_atom_site_fract_y
_atom_site_fract_z
_atom_site_occupancy
Ba1 0.000 0.000 0.000 1
Li1 0.250 0.250 0.250 1
Sb1 0.000 0.000 0.500 1
Sb2 0.250 0.250 0.750 1
```

Theoretical density (g/cm3): 5.26
Calculated total energy (eV/cell): -53.8
Energy above the lowest structure with this stoichiometry (meV/atom): 377

[2]
Here is a relaxed BaLiScSb2 crystal from Alexandria. Energies are from PBE.

```
data_BaLiScSb2
_cell_length_a 4.634
_cell_length_b 4.634
_cell_length_c 14.143
_cell_angle_alpha 90.00
_cell_angle_beta 90.00
_cell_angle_gamma 90.00
_symmetry_space_group_name_H-M 'I -4 m 2'
_symmetry_Int_Tables_number 119
_symmetry_space_group_name_Hall 'I -4 -2'
loop_
_atom_site_label
_atom_site_fract_x
_atom_site_fract_y
_atom_site_fract_z
_atom_site_occupancy
Ba1 0.000 0.000 0.000 1
Li1 0.000 0.500 0.750 1
Sc1 0.000 0.500 0.250 1
Sb1 0.000 0.000 0.367 1
```

Theoretical density (g/cm3): 4.73
Calculated total energy (eV/cell): -45.9

[3]
Here is a relaxed BaLi2SbSe4 crystal from Alexandria. Energies are from PBE.

```
data_BaLi2SbSe4
_cell_length_a 7.230
_cell_length_b 7.230
_cell_length_c 8.679
_cell_angle_alpha 90.00
_cell_angle_beta 90.00
_cell_angle_gamma 90.00
_symmetry_space_group_name_H-M 'I -4 2 m'
_symmetry_Int_Tables_number 121
_symmetry_space_group_name_Hall 'I -4 2'
loop_
_atom_site_label
_atom_site_fract_x
_atom_site_fract_y
_atom_site_fract_z
_atom_site_occupancy
Ba1 0.000 0.000 0.000 1
Li1 0.000 0.500 0.250 1
Sb1 0.000 0.000 0.500 1
Se1 0.209 0.209 0.681 1
```

Theoretical density (g/cm3): 4.31
Calculated total energy (eV/cell): -64.0

| no. | formation energy without anion corrections (eV/atom) |
| --- | --- |
| 1 | -0.345 |
| 2 | -0.903 |
| 3 | -1.021 |